Entry 1:
A geometry-optimized FeCuAg2 structure, computed with GGA-PBEsol.

Cell lengths 2.6985, 4.7141, 4.7309 Å; angles 100.73, 90.00, 106.63 degrees
Last column: magnetic moment on the atom in μB.
Positions (direct):
Cu 0.4926 0.9852 0.4943  0.06
Ag 0.0051 0.0102 0.0143  0.01
Fe 0.7584 0.5167 0.2548  2.83
Ag 0.2439 0.4879 0.7365  0.01

Output
DOS(E_F) = 2.8 states/eV/f.u.
energy relative to the elements = 0.301 eV/atom
space-group type = Cm
mass density = 9.84 g/cm³

Entry 2:
A geometry-optimized Cd2In structure, computed with GGA-PBEsol.

Cell lengths 4.4464, 6.3975, 9.3617 Å; angles 90.00, 90.00, 90.00 degrees
Positions (direct):
Cd 0.2500 0.6234 0.7475
In 0.2500 0.1295 0.4139
Cd 0.7500 0.8770 0.9174
In 0.2500 0.6295 0.0861
Cd 0.2500 0.6230 0.4174
Cd 0.7500 0.8766 0.2475
Cd 0.2500 0.1230 0.0826
In 0.7500 0.8705 0.5861
Cd 0.7500 0.3766 0.2525
In 0.7500 0.3705 0.9139
Cd 0.7500 0.3770 0.5826
Cd 0.2500 0.1234 0.7525

Output
DOS(E_F) = 1.1 states/eV/f.u.
energy relative to the elements = 0.027 eV/atom
space-group type = Pnma
mass density = 8.47 g/cm³